[1]
A relaxed UPa2Ni2Ge2 crystal. Source: the Alexandria database, functional PBE.

Structure (CIF):
```
data_UPa2Ni2Ge2
_chemical_formula_sum 'U3 Pa6 Ni6 Ge6'
_symmetry_space_group_name_H-M 'R -3 m'
_symmetry_Int_Tables_number 166
_symmetry_space_group_name_Hall '-R 3 2"'
_cell_length_a 4.1069
_cell_length_b 4.1069
_cell_length_c 26.9862
_cell_angle_alpha 90.00
_cell_angle_beta 90.00
_cell_angle_gamma 120.00
loop_
_atom_site_label
_atom_site_fract_x
_atom_site_fract_y
_atom_site_fract_z
U1 0.0000 0.0000 0.0000
Pa1 0.0000 0.0000 0.1370
Ni1 0.0000 0.0000 0.4042
Ge1 0.0000 0.0000 0.2670
```

Results
Total magnetization, Bohr magnetons per cell: 5.76
Crystal system: trigonal
E_form, eV per atom: -0.295

***

[2]
A relaxed Pa2VNi3Ge4 crystal. Source: the Alexandria database, functional PBE.

Structure (CIF):
```
data_Pa2VNi3Ge4
_chemical_formula_sum 'Pa2 V1 Ni3 Ge4'
_symmetry_space_group_name_H-M 'P -4 m 2'
_symmetry_Int_Tables_number 115
_cell_length_a 4.119
_cell_length_b 4.119
_cell_length_c 9.770
_cell_angle_alpha 90.00
_cell_angle_beta 90.00
_cell_angle_gamma 90.00
loop_
_symmetry_equiv_pos_as_xyz
'x,y,z'
'y,-x,-z'
'-x,-y,z'
'-y,x,-z'
'-x,y,z'
'-y,-x,-z'
'x,-y,z'
'y,x,-z'
loop_
_atom_site_label
_atom_site_fract_x
_atom_site_fract_y
_atom_site_fract_z
Pa1 0.000 0.500 0.247
V1 0.000 0.000 0.500
Ni1 0.000 0.500 0.880
Ni2 0.500 0.500 0.500
Ge1 0.000 0.000 0.000
Ge2 0.000 0.500 0.642
Ge3 0.500 0.500 0.000
```

Results
Total magnetization, Bohr magnetons per cell: 2.67
Crystal system: tetragonal
E_form, eV per atom: -0.520

***

[3]
A relaxed PaVNiGe2 crystal. Source: the Alexandria database, functional PBE.

Structure (CIF):
```
data_PaVNiGe2
_chemical_formula_sum 'Pa2 V2 Ni2 Ge4'
_symmetry_space_group_name_H-M 'I -4 m 2'
_symmetry_Int_Tables_number 119
_symmetry_space_group_name_Hall 'I -4 -2'
_cell_length_a 4.061
_cell_length_b 4.061
_cell_length_c 10.431
_cell_angle_alpha 90.00
_cell_angle_beta 90.00
_cell_angle_gamma 90.00
loop_
_atom_site_label
_atom_site_fract_x
_atom_site_fract_y
_atom_site_fract_z
Pa1 0.000 0.000 0.000
V1 0.000 0.500 0.750
Ni1 0.000 0.500 0.250
Ge1 0.000 0.000 0.380
```

Results
Total magnetization, Bohr magnetons per cell: 4.29
Crystal system: tetragonal
E_form, eV per atom: -0.405